Material: YZnCdSi2
Method: DFT, PBE
State: optimized geometry

Lattice parameters (Å, degrees): 4.8825 4.8825 5.6786 90.00 90.00 90.00
With the nearest neighbours (Å) after each atom.
Space group P4/mmm (No. 123)
Asymmetric unit:
Y: 0.0000 0.0000 0.0000 x1  2 Cd 2.84
Zn: 0.5000 0.5000 0.0000 x1  4 Y 3.45, 8 Si 3.74
Cd: 0.0000 0.0000 0.5000 x1  4 Si 2.44
Si: 0.0000 0.5000 0.5000 x2  2 Cd 2.44

Computed properties:
**Formation energy from raw total energies**: 852 meV per atom